The following is a PBE calculation of a relaxed structure of Mn2TcAg, from Alexandria via LeMat-Bulk.

Results
Energy relative to the elements ... 0.401 eV per atom
Volume ... 14.797 Å³ per atom
E_tot ... -7.489 eV per atom
Space group ... No. 8

The structure in CIF format:
```
data_Mn2TcAg
_space_group_name_H-M_alt 'P 1'
_space_group_IT_number 1
_space_group_name_Hall 'P 1'
_cell_length_a 4.903
_cell_length_b 4.903
_cell_length_c 4.559
_cell_angle_alpha 74.37
_cell_angle_beta 74.37
_cell_angle_gamma 34.27
loop_
_atom_site_label
_atom_site_type_symbol
_atom_site_fract_x
_atom_site_fract_y
_atom_site_fract_z
Mn1 Mn 0.754 0.754 0.710
Mn2 Mn 0.008 0.008 0.021
Ag1 Ag 0.253 0.253 0.216
Tc1 Tc 0.485 0.485 0.553
```

***

The following is a PBE calculation of a relaxed structure of MnTcAg, from Alexandria via LeMat-Bulk.

Results
Energy relative to the elements ... 0.354 eV per atom
Volume ... 14.525 Å³ per atom
Offset from the most stable computed form ... 0 meV/atom
E_tot ... -7.108 eV per atom
Space group ... No. 156

The structure in CIF format:
```
data_MnTcAg
_space_group_name_H-M_alt 'P 1'
_space_group_IT_number 1
_space_group_name_Hall 'P 1'
_cell_length_a 2.714
_cell_length_b 2.714
_cell_length_c 6.831
_cell_angle_alpha 90.00
_cell_angle_beta 90.00
_cell_angle_gamma 120.00
loop_
_atom_site_label
_atom_site_type_symbol
_atom_site_fract_x
_atom_site_fract_y
_atom_site_fract_z
Mn1 Mn 0.667 0.333 0.355
Ag1 Ag 0.000 0.000 0.009
Tc1 Tc 0.333 0.667 0.635
```